## ZrTcMo2 (PBE-GGA)

Data for a geometry-optimized ZrTcMo2 structure.

Cell: 2.8705 4.5263 5.2648 Å, 90.00 101.23 90.00°
With the nearest neighbours (Å) after each atom.
Element x y z (fractional)
Zr1 0.0000 0.0000 0.0000  2 Tc 2.74, 4 Mo 2.81, 2 Zr 2.87
Tc1 0.5000 0.0000 0.5000  2 Zr 2.74, 4 Mo 2.76, 2 Tc 2.87
Mo1 0.2576 0.5000 0.7443  4 Mo 2.71-2.87, 2 Tc 2.76, 2 Zr 2.81
Mo2 0.7424 0.5000 0.2557  4 Mo 2.71-2.87, 2 Tc 2.76, 2 Zr 2.81

Summary:
Energy of formation from the pure elements: -0.02 eV per atom
Polymorph energy (0 for the lowest one): 102 meV/atom


## NiSbP (PBE-GGA)

Data for a geometry-optimized NiSbP structure.

Cell: 4.2589 4.3550 6.1377 Å, 90.00 106.90 90.00°
With the nearest neighbours (Å) after each atom.
Element x y z (fractional)
Ni1 0.1319 0.2500 0.4585  4 P 2.23-2.35
Ni2 0.8681 0.7500 0.5415  4 P 2.23-2.35
Sb1 0.2637 0.7500 0.9745  1 P 2.69, 1 Ni 2.70, 2 Sb 2.92
Sb2 0.7363 0.2500 0.0255  1 P 2.69, 1 Ni 2.70, 2 Sb 2.92
P1 0.3156 0.7500 0.4220  4 Ni 2.23-2.35
P2 0.6844 0.2500 0.5780  4 Ni 2.23-2.35

Summary:
Uncorrected formation energy: -0.52 eV per formula unit
Polymorph energy (0 for the lowest one): 62 meV/atom


## ZnWIN2 (PBE-GGA)

Data for a geometry-optimized ZnWIN2 structure.

Cell: 3.9463 3.9463 5.2450 Å, 90.00 90.00 90.00°
With the nearest neighbours (Å) after each atom.
Element x y z (fractional)
Zn1 0.0000 0.0000 0.0000  4 N 1.97
W1 0.5000 0.5000 0.5000  4 I 2.79
I1 0.0000 0.0000 0.5000  2 Zn 2.62, 4 W 2.79
N1 0.0000 0.5000 0.0000  2 Zn 1.97
N2 0.5000 0.0000 0.0000  2 Zn 1.97

Summary:
Uncorrected formation energy: 11.74 eV per formula unit
Polymorph energy (0 for the lowest one): 1808 meV/atom


## HgAsPb (PBE-GGA)

Data for a geometry-optimized HgAsPb structure.

Cell: 3.5880 3.5880 14.5703 Å, 90.00 90.00 120.00°
With the nearest neighbours (Å) after each atom.
Element x y z (fractional)
Hg1 0.3333 0.6667 0.4157  9 Hg 3.21-3.59, 3 Pb 3.38
Hg2 0.6667 0.3333 0.5843  9 Hg 3.21-3.59, 3 Pb 3.38
As1 0.3333 0.6667 0.9502  3 As 2.53
As2 0.6667 0.3333 0.0498  3 As 2.53
Pb1 0.0000 0.0000 0.2326  3 As 3.37, 3 Hg 3.38, 6 Pb 3.59
Pb2 0.0000 0.0000 0.7674  3 As 3.37, 3 Hg 3.38, 6 Pb 3.59

Summary:
Energy of formation from the pure elements: 0.05 eV per atom
Polymorph energy (0 for the lowest one): 0 meV/atom


## ScSiPb2Cl (PBE-GGA)

Data for a geometry-optimized ScSiPb2Cl structure.

Cell: 5.4844 5.4844 4.7171 Å, 90.00 90.00 90.00°
With the nearest neighbours (Å) after each atom.
Element x y z (fractional)
Sc1 0.0000 0.0000 0.0000  8 Pb 3.62, 4 Cl 3.88
Si1 0.5000 0.5000 0.5000  2 Cl 2.36
Pb1 0.0000 0.5000 0.5000  2 Si 2.74
Pb2 0.5000 0.0000 0.5000  2 Si 2.74
Cl1 0.5000 0.5000 0.0000  2 Si 2.36

Summary:
Uncorrected formation energy: 1.64 eV per formula unit


## Nb2VH6 (PBE-GGA)

Data for a geometry-optimized Nb2VH6 structure.

Cell: 5.4431 5.4431 5.4431 Å, 146.46 131.45 60.30°
With the nearest neighbours (Å) after each atom.
Element x y z (fractional)
Nb1 0.1641 0.1641 0.0000  8 H 1.96-1.97
Nb2 0.8359 0.8359 0.0000  8 H 1.96-1.97
V1 0.5000 0.5000 0.0000  8 H 1.85-1.87
H1 0.1014 0.3394 0.7620  1 V 1.85, 3 Nb 1.96
H2 0.2727 0.0000 0.2727  2 V 1.87, 2 Nb 1.97, 1 H 2.03
H3 0.4225 0.6606 0.7620  1 V 1.85, 3 Nb 1.96
H4 0.5775 0.3394 0.2380  1 V 1.85, 3 Nb 1.96
H5 0.7273 0.0000 0.7273  2 V 1.87, 2 Nb 1.97, 1 H 2.03
H6 0.8986 0.6606 0.2380  1 V 1.85, 3 Nb 1.96

Summary:
Electronic total energy: -5.72 eV per atom


## PmHoCoAg (PBE-GGA)

Data for a geometry-optimized PmHoCoAg structure.

Cell: 5.0011 5.0011 5.0011 Å, 60.00 60.00 60.00°
With the nearest neighbours (Å) after each atom.
Element x y z (fractional)
Pm1 0.0000 0.0000 0.0000  4 Co 3.06, 4 Ag 3.06
Ho1 0.5000 0.5000 0.5000  4 Co 3.06, 4 Ag 3.06
Co1 0.7500 0.7500 0.7500  4 Ho 3.06, 4 Pm 3.06
Ag1 0.2500 0.2500 0.2500  4 Ho 3.06, 4 Pm 3.06

Summary:
Energy of formation from the pure elements: -0.13 eV per atom


## TbPmAl (PBE-GGA)

Data for a geometry-optimized TbPmAl structure.

Cell: 5.1157 5.1157 3.6347 Å, 90.00 90.00 120.00°
With the nearest neighbours (Å) after each atom.
Element x y z (fractional)
Tb1 0.0000 0.0000 0.0000  3 Al 3.09, 3 Pm 3.35
Pm1 0.3333 0.6667 0.4348  3 Al 3.17, 3 Tb 3.35
Al1 0.6667 0.3333 0.7508  3 Tb 3.09, 3 Pm 3.17

Summary:
Energy of formation from the pure elements: -0.15 eV per atom
Polymorph energy (0 for the lowest one): 81 meV/atom


## PtAu2C (PBE-GGA)

Data for a geometry-optimized PtAu2C structure.

Cell: 6.2251 6.2251 6.2251 Å, 95.77 95.77 143.02°
With the nearest neighbours (Å) after each atom.
Element x y z (fractional)
Pt1 0.0000 0.0000 0.0000  2 C 1.97
Pt2 0.7500 0.2500 0.5000  2 C 1.97
Au1 0.2458 0.6250 0.1208  2 C 2.40
Au2 0.3750 0.4958 0.6208  2 C 2.40
Au3 0.5042 0.1250 0.8792  2 C 2.40
Au4 0.8750 0.7542 0.3792  2 C 2.40
C1 0.2500 0.7500 0.5000  2 Pt 1.97
C2 0.5000 0.5000 0.0000  2 Pt 1.97

Summary:
Energy of formation from the pure elements: 0.86 eV per atom


## Pr6AsO12 (PBE-GGA)

Data for a geometry-optimized Pr6AsO12 structure.

Cell: 6.7354 6.7354 6.7354 Å, 98.59 98.59 98.59°
With the nearest neighbours (Å) after each atom.
Element x y z (fractional)
Pr1 0.1086 0.7963 0.6413  6 O 2.32-2.59
Pr2 0.2037 0.3587 0.8914  6 O 2.32-2.59
Pr3 0.3587 0.8914 0.2037  6 O 2.32-2.59
Pr4 0.6413 0.1086 0.7963  6 O 2.32-2.59
Pr5 0.7963 0.6413 0.1086  6 O 2.32-2.59
Pr6 0.8914 0.2037 0.3587  6 O 2.32-2.59
As1 0.5000 0.5000 0.5000  6 O 1.92
O1 0.0543 0.9061 0.3228  4 Pr 2.32-2.42
O2 0.0939 0.6772 0.9457  4 Pr 2.32-2.42
O3 0.2190 0.4367 0.5289  1 As 1.92
O4 0.3228 0.0543 0.9061  4 Pr 2.32-2.42
O5 0.4367 0.5289 0.2190  1 As 1.92
O6 0.4711 0.7810 0.5633  1 As 1.92
O7 0.5289 0.2190 0.4367  1 As 1.92
O8 0.5633 0.4711 0.7810  1 As 1.92
O9 0.6772 0.9457 0.0939  4 Pr 2.32-2.42
O10 0.7810 0.5633 0.4711  1 As 1.92
O11 0.9061 0.3228 0.0543  4 Pr 2.32-2.42
O12 0.9457 0.0939 0.6772  4 Pr 2.32-2.42

Summary:
Uncorrected formation energy: -54.03 eV per formula unit


## NiPb2Se (PBE-GGA)

Data for a geometry-optimized NiPb2Se structure.

Cell: 6.1574 6.1574 6.1574 Å, 148.76 125.22 64.42°
With the nearest neighbours (Å) after each atom.
Element x y z (fractional)
Ni1 0.0000 0.0000 0.0000  2 Se 2.31
Pb1 0.4938 0.4938 0.0000  4 Ni 3.28, 2 Se 3.29, 6 Pb 3.32-3.58
Pb2 0.7830 0.2830 0.5000  2 Ni 2.80
Se1 0.1543 0.6543 0.5000  2 Ni 2.31

Summary:
Uncorrected formation energy: 0.01 eV per formula unit


## YPdIN2 (PBE-GGA)

Data for a geometry-optimized YPdIN2 structure.

Cell: 4.2629 4.2629 5.1303 Å, 90.00 90.00 90.00°
With the nearest neighbours (Å) after each atom.
Element x y z (fractional)
Y1 0.0000 0.0000 0.0000  4 I 3.01, 8 N 3.34
Pd1 0.5000 0.5000 0.5000  4 N 2.13
I1 0.5000 0.5000 0.0000  2 Pd 2.57
N1 0.0000 0.5000 0.5000  2 Pd 2.13
N2 0.5000 0.0000 0.5000  2 Pd 2.13

Summary:
Uncorrected formation energy: 4.65 eV per formula unit
Polymorph energy (0 for the lowest one): 83 meV/atom


## LiPb5S6 (PBE-GGA)

Data for a geometry-optimized LiPb5S6 structure.

Cell: 7.1850 7.1850 7.1719 Å, 99.60 99.60 119.97°
With the nearest neighbours (Å) after each atom.
Element x y z (fractional)
Li1 0.0000 0.0000 0.0000  6 S 2.85
Pb1 0.1653 0.8347 0.5000  6 S 2.92-3.02
Pb2 0.3332 0.6668 0.0000  6 S 2.93
Pb3 0.5000 0.5000 0.5000  6 S 2.94-3.01
Pb4 0.6668 0.3332 0.0000  6 S 2.93
Pb5 0.8347 0.1653 0.5000  6 S 2.92-3.02
S1 0.0808 0.4056 0.2429  1 Li 2.85, 5 Pb 2.93-3.02
S2 0.2438 0.2438 0.7576  1 Li 2.85, 5 Pb 2.92-3.01
S3 0.4056 0.0808 0.2429  1 Li 2.85, 5 Pb 2.93-3.02
S4 0.5944 0.9192 0.7571  1 Li 2.85, 5 Pb 2.93-3.02
S5 0.7562 0.7562 0.2424  1 Li 2.85, 5 Pb 2.92-3.01
S6 0.9192 0.5944 0.7571  1 Li 2.85, 5 Pb 2.93-3.02

Summary:
Uncorrected formation energy: -6.75 eV per formula unit


## Pa2Si4OsPd3 (PBE-GGA)

Data for a geometry-optimized Pa2Si4OsPd3 structure.

Cell: 4.1802 4.1802 9.7971 Å, 90.00 90.00 90.00°
With the nearest neighbours (Å) after each atom.
Element x y z (fractional)
Pa1 0.0000 0.5000 0.2482  8 Si 3.16-3.23, 2 Os 3.21, 6 Pd 3.21
Pa2 0.5000 0.0000 0.7518  8 Si 3.16-3.23, 6 Pd 3.21, 2 Os 3.21
Si1 0.0000 0.0000 0.5000  4 Pd 2.42
Si2 0.0000 0.5000 0.8670  3 Pd 2.38-2.46, 2 Os 2.46
Si3 0.5000 0.0000 0.1330  3 Pd 2.38-2.46, 2 Os 2.46
Si4 0.5000 0.5000 0.5000  4 Pd 2.42
Os1 0.5000 0.5000 0.0000  4 Si 2.46
Pd1 0.0000 0.0000 0.0000  4 Si 2.46
Pd2 0.0000 0.5000 0.6238  5 Si 2.38-2.42
Pd3 0.5000 0.0000 0.3762  5 Si 2.38-2.42

Summary:
Uncorrected formation energy: -7.08 eV per formula unit


## Tl4IrCl6 (PBE-GGA)

Data for a geometry-optimized Tl4IrCl6 structure.

Cell: 8.5565 8.5565 9.0393 Å, 90.00 90.00 90.00°
With the nearest neighbours (Å) after each atom.
Element x y z (fractional)
Tl1 0.1558 0.3442 0.2500  6 Cl 3.13-3.33
Tl2 0.1558 0.3442 0.7500  6 Cl 3.13-3.33
Tl3 0.3442 0.8442 0.2500  6 Cl 3.13-3.33
Tl4 0.3442 0.8442 0.7500  6 Cl 3.13-3.33
Tl5 0.6558 0.1558 0.2500  6 Cl 3.13-3.33
Tl6 0.6558 0.1558 0.7500  6 Cl 3.13-3.33
Tl7 0.8442 0.6558 0.2500  6 Cl 3.13-3.33
Tl8 0.8442 0.6558 0.7500  6 Cl 3.13-3.33
Ir1 0.0000 0.0000 0.0000  6 Cl 2.37-2.56
Ir2 0.5000 0.5000 0.5000  6 Cl 2.37-2.56
Cl1 0.0000 0.0000 0.2624  1 Ir 2.37
Cl2 0.0000 0.0000 0.7376  1 Ir 2.37
Cl3 0.1211 0.7263 0.0000  1 Ir 2.56
Cl4 0.2263 0.6211 0.5000  1 Ir 2.56
Cl5 0.2737 0.1211 0.0000  1 Ir 2.56
Cl6 0.3789 0.2263 0.5000  1 Ir 2.56
Cl7 0.5000 0.5000 0.2376  1 Ir 2.37
Cl8 0.5000 0.5000 0.7624  1 Ir 2.37
Cl9 0.6211 0.7737 0.5000  1 Ir 2.56
Cl10 0.7263 0.8789 0.0000  1 Ir 2.56
Cl11 0.7737 0.3789 0.5000  1 Ir 2.56
Cl12 0.8789 0.2737 0.0000  1 Ir 2.56

Summary:
Uncorrected formation energy: -7.75 eV per formula unit


## Nd2CuAg3 (PBE-GGA)

Data for a geometry-optimized Nd2CuAg3 structure.

Cell: 9.1806 9.1806 9.1806 Å, 154.59 154.17 36.55°
With the nearest neighbours (Å) after each atom.
Element x y z (fractional)
Nd1 0.0000 0.0000 0.0000  4 Cu 3.11, 6 Ag 3.22-3.41
Nd2 0.7660 0.2660 0.5000  8 Ag 3.18-3.21, 2 Cu 3.56
Cu1 0.4329 0.4329 0.0000  3 Ag 2.55-2.60
Ag1 0.1841 0.6841 0.5000  3 Ag 2.72-2.78
Ag2 0.3436 0.8436 0.5000  2 Cu 2.55, 1 Ag 2.78
Ag3 0.5821 0.5821 0.0000  1 Cu 2.60, 2 Ag 2.72

Summary:
Energy of formation from the pure elements: -0.18 eV per atom


## BPt3S (PBE-GGA)

Data for a geometry-optimized BPt3S structure.

Cell: 4.2253 4.2253 4.2253 Å, 90.00 90.00 90.00°
With the nearest neighbours (Å) after each atom.
Element x y z (fractional)
B1 0.0000 0.0000 0.0000  6 Pt 2.11
Pt1 0.0000 0.0000 0.5000  2 B 2.11
Pt2 0.0000 0.5000 0.0000  2 B 2.11
Pt3 0.5000 0.0000 0.0000  2 B 2.11
S1 0.5000 0.5000 0.5000  12 Pt 2.99

Summary:
Uncorrected formation energy: 1.64 eV per formula unit
Polymorph energy (0 for the lowest one): 0 meV/atom


## LiCoPIr (PBE-GGA)

Data for a geometry-optimized LiCoPIr structure.

Cell: 3.9687 3.9687 3.9687 Å, 60.00 60.00 60.00°
With the nearest neighbours (Å) after each atom.
Element x y z (fractional)
Li1 0.0000 0.0000 0.0000  4 Co 2.43, 4 Ir 2.43
Co1 0.2500 0.2500 0.2500  4 Li 2.43, 4 P 2.43
P1 0.5000 0.5000 0.5000  4 Co 2.43, 4 Ir 2.43
Ir1 0.7500 0.7500 0.7500  4 Li 2.43, 4 P 2.43

Summary:
Energy of formation from the pure elements: -0.40 eV per atom


## K3DyBr6 (PBE-GGA)

Data for a geometry-optimized K3DyBr6 structure.

Cell: 7.8918 8.4146 13.6602 Å, 90.00 124.06 90.00°
With the nearest neighbours (Å) after each atom.
Element x y z (fractional)
K1 0.0000 0.0000 0.0000  6 Br 3.25-3.33
K2 0.0000 0.5000 0.5000  6 Br 3.25-3.33
K3 0.2109 0.0794 0.7426  6 Br 3.34-3.61
K4 0.2109 0.4206 0.2426  6 Br 3.34-3.61
K5 0.7891 0.5794 0.7574  6 Br 3.34-3.61
K6 0.7891 0.9206 0.2574  6 Br 3.34-3.61
Dy1 0.5000 0.0000 0.5000  6 Br 2.81-2.83
Dy2 0.5000 0.5000 0.0000  6 Br 2.81-2.83
Br1 0.1552 0.1791 0.4414  1 Dy 2.81
Br2 0.1552 0.3209 0.9414  1 Dy 2.81
Br3 0.2571 0.7222 0.4229  1 Dy 2.83
Br4 0.2571 0.7778 0.9229  1 Dy 2.83
Br5 0.4056 0.0552 0.2713  1 Dy 2.81
Br6 0.4056 0.4448 0.7713  1 Dy 2.81
Br7 0.5944 0.5552 0.2287  1 Dy 2.81
Br8 0.5944 0.9448 0.7287  1 Dy 2.81
Br9 0.7429 0.2222 0.0771  1 Dy 2.83
Br10 0.7429 0.2778 0.5771  1 Dy 2.83
Br11 0.8448 0.6791 0.0586  1 Dy 2.81
Br12 0.8448 0.8209 0.5586  1 Dy 2.81

Summary:
Uncorrected formation energy: -18.28 eV per formula unit


## ZrSbRu2 (PBE-GGA)

Data for a geometry-optimized ZrSbRu2 structure.

Cell: 4.4143 4.4143 3.5304 Å, 90.00 90.00 90.00°
With the nearest neighbours (Å) after each atom.
Element x y z (fractional)
Zr1 0.0000 0.0000 0.0000  8 Ru 2.83, 4 Sb 3.12
Sb1 0.5000 0.5000 0.0000  8 Ru 2.83, 4 Zr 3.12
Ru1 0.0000 0.5000 0.5000  4 Sb 2.83, 4 Zr 2.83, 4 Ru 3.12
Ru2 0.5000 0.0000 0.5000  4 Sb 2.83, 4 Zr 2.83, 4 Ru 3.12

Summary:
Uncorrected formation energy: -1.68 eV per formula unit


Number 1: spin magnetization 0.0 μB/cell. Number 2: spin magnetization 0.0 μB/cell. Number 3: spin magnetization 1.3 μB/cell. Number 4: spin magnetization 0.0 μB/cell. Number 5: spin magnetization 0.0 μB/cell. Number 6: spin magnetization 0.0 μB/cell. Number 7: spin magnetization 0.5 μB/cell. Number 8: spin magnetization 0.0 μB/cell. Number 9: spin magnetization 0.0 μB/cell. Number 10: spin magnetization 1.1 μB/cell. Number 11: spin magnetization 0.0 μB/cell. Number 12: spin magnetization 1.7 μB/cell. Number 13: spin magnetization 0.0 μB/cell. Number 14: spin magnetization 0.0 μB/cell. Number 15: spin magnetization 2.0 μB/cell. Number 16: spin magnetization 0.0 μB/cell. Number 17: spin magnetization 0.0 μB/cell. Number 18: spin magnetization 0.3 μB/cell. Number 19: spin magnetization 0.0 μB/cell. Number 20: spin magnetization 0.0 μB/cell.